# 1
Density functional theory data (PBE-GGA) for crystalline MnCoCl at its relaxed geometry.

Unit cell a=5.6732 b=5.6732 c=5.6732 alpha=90.00 beta=90.00 gamma=90.00
Atoms (fractional coordinates):
1 Mn 0.0000 0.0000 0.0000
2 Mn 0.0000 0.5000 0.5000
3 Mn 0.5000 0.0000 0.5000
4 Mn 0.5000 0.5000 0.0000
5 Co 0.0000 0.0000 0.5000
6 Co 0.0000 0.5000 0.0000
7 Co 0.5000 0.0000 0.0000
8 Co 0.5000 0.5000 0.5000
9 Cl 0.2500 0.2500 0.2500
10 Cl 0.2500 0.7500 0.7500
11 Cl 0.7500 0.2500 0.7500
12 Cl 0.7500 0.7500 0.2500

## Properties
Size of the total moment, μB/f.u.: 5.418
Raw formation energy, eV/atom: 0.801

***

# 2
Density functional theory data (PBE-GGA) for crystalline TlGaAgPt at its relaxed geometry.

Unit cell a=7.5135 b=4.2076 c=5.8047 alpha=90.00 beta=116.63 gamma=90.00
Atoms (fractional coordinates):
1 Tl 0.0000 0.0000 0.0000
2 Tl 0.5000 0.5000 0.0000
3 Ga 0.1984 0.0000 0.5839
4 Ga 0.6984 0.5000 0.5839
5 Ag 0.2832 0.5000 0.3301
6 Ag 0.7832 0.0000 0.3301
7 Pt 0.0648 0.5000 0.6912
8 Pt 0.5648 0.0000 0.6912

## Properties
Size of the total moment, μB/f.u.: 0.000
ΔE to the lowest computed polymorph, eV per formula unit: 0.07
E_form, eV/f.u.: -0.59

***

# 3
Density functional theory data (PBE-GGA) for crystalline SrZn2CdAu2 at its relaxed geometry.

Unit cell a=4.5556 b=4.5556 c=7.3333 alpha=90.00 beta=90.00 gamma=120.00
Atoms (fractional coordinates):
1 Sr 0.0000 0.0000 0.0000
2 Zn 0.3333 0.6667 0.3081
3 Zn 0.6667 0.3333 0.6919
4 Cd 0.0000 0.0000 0.5000
5 Au 0.3333 0.6667 0.7083
6 Au 0.6667 0.3333 0.2917

## Properties
Size of the total moment, μB/f.u.: 0.000
E_form, eV/f.u.: -2.64

***

# 4
Density functional theory data (PBE-GGA) for crystalline KLa2B at its relaxed geometry.

Unit cell a=8.4596 b=8.4596 c=8.3468 alpha=90.00 beta=90.00 gamma=90.00
Atoms (fractional coordinates):
1 K 0.0000 0.0000 0.0000
2 K 0.0000 0.5000 0.2500
3 K 0.5000 0.0000 0.7500
4 K 0.5000 0.5000 0.5000
5 La 0.1275 0.2500 0.6250
6 La 0.2500 0.6275 0.8750
7 La 0.2500 0.8725 0.3750
8 La 0.3725 0.2500 0.1250
9 La 0.6275 0.7500 0.1250
10 La 0.7500 0.1275 0.3750
11 La 0.7500 0.3725 0.8750
12 La 0.8725 0.7500 0.6250
13 B 0.0000 0.0000 0.5000
14 B 0.0000 0.5000 0.7500
15 B 0.5000 0.0000 0.2500
16 B 0.5000 0.5000 0.0000

## Properties
Size of the total moment, μB/f.u.: 0.000
E_form, eV/f.u.: 2.02

***

# 5
Density functional theory data (PBE-GGA) for crystalline La2YSe at its relaxed geometry.

Unit cell a=3.7326 b=3.7326 c=9.0186 alpha=90.00 beta=90.00 gamma=90.00
Atoms (fractional coordinates):
1 La 0.0000 0.0000 0.2019
2 La 0.0000 0.0000 0.7981
3 Y 0.5000 0.5000 0.5000
4 Se 0.5000 0.5000 0.0000

## Properties
Size of the total moment, μB/f.u.: 0.000
Raw formation energy, eV/atom: -0.725

***

# 6
Density functional theory data (PBE-GGA) for crystalline MnAlIn2 at its relaxed geometry.

Unit cell a=4.2277 b=4.3216 c=4.3406 alpha=90.00 beta=90.00 gamma=90.00
Atoms (fractional coordinates):
1 Mn 0.0000 0.0000 0.0000
2 Al 0.0000 0.5000 0.5000
3 In 0.5000 0.0000 0.5000
4 In 0.5000 0.5000 0.0000

## Properties
Size of the total moment, μB/f.u.: 3.651
E_form, eV/f.u.: 0.88

***

# 7
Density functional theory data (PBE-GGA) for crystalline SrCa2 at its relaxed geometry.

Unit cell a=4.0485 b=6.9047 c=10.1583 alpha=96.11 beta=101.30 gamma=90.03
Atoms (fractional coordinates):
1 Sr 0.0000 0.0000 0.0000
2 Sr 0.3274 0.1110 0.6557
3 Ca 0.1661 0.7111 0.3301
4 Ca 0.4983 0.5020 0.9963
5 Ca 0.6647 0.2218 0.3278
6 Ca 0.8303 0.6081 0.6610

## Properties
Size of the total moment, μB/f.u.: 0.000
ΔE to the lowest computed polymorph, eV per formula unit: 0.02
E_form, eV/f.u.: 0.06

***

# 8
Density functional theory data (PBE-GGA) for crystalline Tm3ZnCo at its relaxed geometry.

Unit cell a=8.5934 b=5.2209 c=10.3492 alpha=90.00 beta=93.47 gamma=90.00
Atoms (fractional coordinates):
1 Tm 0.0070 0.1509 0.3508
2 Tm 0.0070 0.3491 0.8508
3 Tm 0.2841 0.2054 0.1111
4 Tm 0.2841 0.2946 0.6111
5 Tm 0.3222 0.7246 0.3687
6 Tm 0.3222 0.7754 0.8687
7 Tm 0.6778 0.2246 0.1313
8 Tm 0.6778 0.2754 0.6313
9 Tm 0.7159 0.7054 0.3889
10 Tm 0.7159 0.7946 0.8889
11 Tm 0.9930 0.6509 0.1492
12 Tm 0.9930 0.8491 0.6492
13 Zn 0.4963 0.2193 0.3737
14 Zn 0.4963 0.2807 0.8737
15 Zn 0.5037 0.7193 0.1263
16 Zn 0.5037 0.7807 0.6263
17 Co 0.0280 0.6421 0.4148
18 Co 0.0280 0.8579 0.9148
19 Co 0.9720 0.1421 0.0852
20 Co 0.9720 0.3579 0.5852

## Properties
Size of the total moment, μB/f.u.: 0.000
ΔE to the lowest computed polymorph, eV per formula unit: 0.19
E_form, eV/f.u.: -1.04

***

# 9
Density functional theory data (PBE-GGA) for crystalline CsInRuO6 at its relaxed geometry.

Unit cell a=5.5962 b=5.5962 c=6.4445 alpha=90.00 beta=90.00 gamma=120.00
Atoms (fractional coordinates):
1 Cs 0.0000 0.0000 0.0000
2 In 0.3333 0.6667 0.5000
3 Ru 0.6667 0.3333 0.5000
4 O 0.4283 0.0384 0.6741
5 O 0.4283 0.3899 0.3259
6 O 0.6101 0.0384 0.3259
7 O 0.6101 0.5717 0.6741
8 O 0.9616 0.3899 0.6741
9 O 0.9616 0.5717 0.3259

## Properties
Size of the total moment, μB/f.u.: 0.000
Raw formation energy, eV/atom: -0.953

***

# 10
Density functional theory data (PBE-GGA) for crystalline AgSeO2 at its relaxed geometry.

Unit cell a=6.9560 b=3.1961 c=12.9384 alpha=90.00 beta=90.00 gamma=90.00
Atoms (fractional coordinates):
1 Ag 0.1249 0.2500 0.1091
2 Ag 0.3751 0.7500 0.6091
3 Ag 0.6249 0.2500 0.3909
4 Ag 0.8751 0.7500 0.8909
5 Se 0.1459 0.7500 0.3553
6 Se 0.3541 0.2500 0.8553
7 Se 0.6459 0.7500 0.1447
8 Se 0.8541 0.2500 0.6447
9 O 0.1490 0.2500 0.9307
10 O 0.2347 0.7500 0.2312
11 O 0.2653 0.2500 0.7312
12 O 0.3510 0.7500 0.4307
13 O 0.6490 0.2500 0.5693
14 O 0.7347 0.7500 0.2688
15 O 0.7653 0.2500 0.7688
16 O 0.8510 0.7500 0.0693

## Properties
Size of the total moment, μB/f.u.: 0.000
Raw formation energy, eV/atom: -0.390

***

# 11
Density functional theory data (PBE-GGA) for crystalline AlTlVFe2 at its relaxed geometry.

Unit cell a=4.3252 b=4.3252 c=4.5782 alpha=90.00 beta=90.00 gamma=90.00
Atoms (fractional coordinates):
1 Al 0.0000 0.0000 0.0000
2 Tl 0.5000 0.5000 0.5000
3 V 0.0000 0.0000 0.5000
4 Fe 0.0000 0.5000 0.0000
5 Fe 0.5000 0.0000 0.0000

## Properties
Size of the total moment, μB/f.u.: 1.885
E_form, eV/f.u.: 5.88

***

# 12
Density functional theory data (PBE-GGA) for crystalline SrCd2O3 at its relaxed geometry.

Unit cell a=5.8984 b=3.4493 c=8.9651 alpha=90.00 beta=102.80 gamma=90.00
Atoms (fractional coordinates):
1 Sr 0.0329 0.2500 0.3229
2 Sr 0.9671 0.7500 0.6771
3 Cd 0.2577 0.2500 0.0024
4 Cd 0.4713 0.2500 0.6674
5 Cd 0.5287 0.7500 0.3326
6 Cd 0.7423 0.7500 0.9976
7 O 0.1458 0.7500 0.1525
8 O 0.2634 0.7500 0.5028
9 O 0.3705 0.7500 0.8390
10 O 0.6295 0.2500 0.1610
11 O 0.7366 0.2500 0.4972
12 O 0.8542 0.2500 0.8475

## Properties
Size of the total moment, μB/f.u.: 0.000
ΔE to the lowest computed polymorph, eV per formula unit: 0.33
Raw formation energy, eV/atom: -1.540

***

# 13
Density functional theory data (PBE-GGA) for crystalline Hf2IrCl at its relaxed geometry.

Unit cell a=6.6490 b=6.6490 c=6.6490 alpha=90.00 beta=90.00 gamma=90.00
Atoms (fractional coordinates):
1 Hf 0.2500 0.2500 0.2500
2 Hf 0.2500 0.2500 0.7500
3 Hf 0.2500 0.7500 0.2500
4 Hf 0.2500 0.7500 0.7500
5 Hf 0.7500 0.2500 0.2500
6 Hf 0.7500 0.2500 0.7500
7 Hf 0.7500 0.7500 0.2500
8 Hf 0.7500 0.7500 0.7500
9 Ir 0.0000 0.0000 0.0000
10 Ir 0.0000 0.5000 0.5000
11 Ir 0.5000 0.0000 0.5000
12 Ir 0.5000 0.5000 0.0000
13 Cl 0.0000 0.0000 0.5000
14 Cl 0.0000 0.5000 0.0000
15 Cl 0.5000 0.0000 0.0000
16 Cl 0.5000 0.5000 0.5000

## Properties
Size of the total moment, μB/f.u.: 0.000
ΔE to the lowest computed polymorph, eV per formula unit: 0.00
Raw formation energy, eV/atom: -0.411

***

# 14
Density functional theory data (PBE-GGA) for crystalline Rb4TeF at its relaxed geometry.

Unit cell a=5.5682 b=6.4013 c=8.9369 alpha=69.94 beta=89.98 gamma=90.00
Atoms (fractional coordinates):
1 Rb 0.0000 0.0000 0.0000
2 Rb 0.9996 0.2330 0.4293
3 Rb 0.4993 0.7701 0.4141
4 Rb 0.5011 0.5515 0.8919
5 Te 0.4996 0.1438 0.6993
6 F 0.9992 0.8712 0.3256

## Properties
Size of the total moment, μB/f.u.: 0.287
Raw formation energy, eV/atom: -1.284

***

# 15
Density functional theory data (PBE-GGA) for crystalline NdDy3Ag at its relaxed geometry.

Unit cell a=6.7751 b=6.7751 c=7.6925 alpha=106.53 beta=106.53 gamma=66.89
Atoms (fractional coordinates):
1 Nd 0.0692 0.0692 0.2340
2 Nd 0.9308 0.9308 0.7660
3 Dy 0.0870 0.5934 0.3492
4 Dy 0.4066 0.9130 0.6508
5 Dy 0.4378 0.4378 0.7540
6 Dy 0.5622 0.5622 0.2460
7 Dy 0.5934 0.0870 0.3492
8 Dy 0.9130 0.4066 0.6508
9 Ag 0.2662 0.2662 0.0023
10 Ag 0.7338 0.7338 0.9977

## Properties
Size of the total moment, μB/f.u.: 0.000
E_form, eV/f.u.: 0.05

***

# 16
Density functional theory data (PBE-GGA) for crystalline Ge2BiPd7 at its relaxed geometry.

Unit cell a=7.1099 b=7.1099 c=4.4880 alpha=90.00 beta=90.00 gamma=117.65
Atoms (fractional coordinates):
1 Ge 0.1976 0.8024 0.0000
2 Ge 0.8024 0.1976 0.0000
3 Bi 0.5000 0.5000 0.5000
4 Pd 0.0000 0.0000 0.0000
5 Pd 0.1887 0.4355 0.0000
6 Pd 0.2710 0.7290 0.5000
7 Pd 0.4355 0.1887 0.0000
8 Pd 0.5645 0.8113 0.0000
9 Pd 0.7290 0.2710 0.5000
10 Pd 0.8113 0.5645 0.0000

## Properties
Size of the total moment, μB/f.u.: 0.000
ΔE to the lowest computed polymorph, eV per formula unit: 2.79
E_form, eV/f.u.: -1.14

***

# 17
Density functional theory data (PBE-GGA) for crystalline Ba3Sr4Hg2 at its relaxed geometry.

Unit cell a=10.0423 b=10.0423 c=11.1926 alpha=113.55 beta=113.55 gamma=25.25
Atoms (fractional coordinates):
1 Ba 0.0000 0.0000 0.0000
2 Ba 0.3610 0.3610 0.6217
3 Ba 0.6390 0.6390 0.3783
4 Sr 0.0942 0.0942 0.6885
5 Sr 0.3180 0.3180 0.9562
6 Sr 0.6820 0.6820 0.0438
7 Sr 0.9058 0.9058 0.3115
8 Hg 0.2610 0.2610 0.2804
9 Hg 0.7390 0.7390 0.7196

## Properties
Size of the total moment, μB/f.u.: 0.000
E_form, eV/f.u.: -1.79

***

# 18
Density functional theory data (PBE-GGA) for crystalline LiTa2Ag at its relaxed geometry.

Unit cell a=3.0954 b=4.4961 c=10.2631 alpha=90.00 beta=90.00 gamma=90.00
Atoms (fractional coordinates):
1 Li 0.0000 0.0000 0.0000
2 Li 0.5000 0.5000 0.0000
3 Ta 0.0000 0.5000 0.2530
4 Ta 0.0000 0.5000 0.7470
5 Ta 0.5000 0.0000 0.2530
6 Ta 0.5000 0.0000 0.7470
7 Ag 0.0000 0.0000 0.5000
8 Ag 0.5000 0.5000 0.5000

## Properties
Size of the total moment, μB/f.u.: 0.000
ΔE to the lowest computed polymorph, eV per formula unit: 0.96
E_form, eV/f.u.: 1.55

***

# 19
Density functional theory data (PBE-GGA) for crystalline K2Ag2SbTe4 at its relaxed geometry.

Unit cell a=8.7891 b=8.7891 c=8.4150 alpha=110.75 beta=110.75 gamma=28.88
Atoms (fractional coordinates):
1 K 0.1354 0.1354 0.0705
2 K 0.8646 0.8646 0.9295
3 Ag 0.3099 0.3099 0.5215
4 Ag 0.6901 0.6901 0.4785
5 Sb 0.0000 0.0000 0.5000
6 Te 0.1931 0.1931 0.6981
7 Te 0.4847 0.4847 0.7459
8 Te 0.5153 0.5153 0.2541
9 Te 0.8069 0.8069 0.3019

## Properties
Size of the total moment, μB/f.u.: 0.000
Raw formation energy, eV/atom: -0.451

***

# 20
Density functional theory data (PBE-GGA) for crystalline ThZn2Pd8 at its relaxed geometry.

Unit cell a=7.3304 b=7.3304 c=6.4913 alpha=108.59 beta=108.59 gamma=33.24
Atoms (fractional coordinates):
1 Th 0.0000 0.0000 0.0000
2 Zn 0.2791 0.2791 0.3480
3 Zn 0.7209 0.7209 0.6520
4 Pd 0.1024 0.1024 0.4753
5 Pd 0.1837 0.1837 0.9298
6 Pd 0.3478 0.3478 0.7782
7 Pd 0.4556 0.4556 0.2759
8 Pd 0.5444 0.5444 0.7241
9 Pd 0.6522 0.6522 0.2218
10 Pd 0.8163 0.8163 0.0702
11 Pd 0.8976 0.8976 0.5247

## Properties
Size of the total moment, μB/f.u.: 0.000
E_form, eV/f.u.: -6.15